## Cs2Np2NiSe6 (PBE-GGA)

Data for a relaxed structure of Cs2Np2NiSe6.

The structure in POSCAR format:
```
Cs2Np2NiSe6
1.0
6.757 0.448 0.140
-2.951 6.096 0.140
-1.252 -2.153 8.287
Se Np Cs Ni
6 2 2 1
direct
0.349 0.058 0.661
0.332 0.332 0.269
0.668 0.668 0.731
0.058 0.349 0.661
0.651 0.942 0.339
0.942 0.651 0.339
0.334 0.666 0.500
0.666 0.334 0.500
0.805 0.195 0.000
0.195 0.805 0.000
0.000 0.000 0.500
```

Output
* total energy: -64.6 eV per cell
* space group: C2/m, No. 12
* formation energy (no corrections): -0.94 eV per atom



## Cs2NpNi2Te4 (PBE-GGA)

Data for a relaxed structure of Cs2NpNi2Te4.

The structure in POSCAR format:
```
Cs2NpNi2Te4
1.0
-0.602 4.268 0.013
-7.261 -1.008 -5.297
-2.146 -2.503 7.542
Ni Te Cs Np
2 4 2 1
direct
0.320 0.014 0.640
0.680 0.986 0.360
0.199 0.149 0.399
0.801 0.851 0.601
0.524 0.777 0.048
0.476 0.223 0.952
0.863 0.443 0.725
0.137 0.557 0.275
0.000 0.000 0.000
```

Output
* total energy: -44.3 eV per cell
* space group: C2/m, No. 12
* formation energy (no corrections): -0.62 eV per atom